(1)
Entry from the Alexandria database: a relaxed structure of Pt3PbW (PBE).

Lattice parameters (Å, degrees): 4.919 4.919 4.919 90.00 90.00 90.00
Fractional coordinates of all 5 atoms:
W1 0.000 0.000 0.000
Pt1 0.500 0.000 0.000
Pt2 0.000 0.500 0.000
Pt3 0.000 0.000 0.500
Pb1 0.500 0.500 0.500

## Properties
- energy relative to the elements (eV/atom) = 0.720
- crystal system = cubic



(2)
Entry from the Alexandria database: a relaxed structure of Er2CoOs (PBE).

Lattice parameters (Å, degrees): 3.208 3.208 9.411 80.19 80.19 60.00
Fractional coordinates of all 4 atoms:
Co1 0.000 0.000 0.000
Os1 0.500 0.500 0.500
Er1 0.910 0.910 0.270
Er2 0.090 0.090 0.730

## Properties
- energy relative to the elements (eV/atom) = 0.554
- crystal system = trigonal